1.
This record from the Alexandria database describes Nd5HoIn2 after structural relaxation. The functional is PBE.

```
16
Lattice="4.952 0.000 0.000 0.000 7.028 0.000 0.000 0.000 14.060" Properties=species:S:1:pos:R:3 pbc="T T T"
In 2.476 1.717 8.756
Nd 0.000 3.514 7.030
Nd 0.000 3.540 3.481
Nd 2.476 1.769 5.285
In 2.476 5.231 12.333
Nd 2.476 5.258 8.774
In 2.476 5.310 5.303
Ho 0.000 0.000 7.030
Nd 0.000 0.026 3.549
Ho 0.000 3.514 0.000
Nd 0.000 0.000 0.000
Nd 2.476 1.745 12.315
Nd 0.000 3.488 10.579
Nd 0.000 7.002 10.511
Nd 2.476 5.283 1.744
In 2.476 1.796 1.726
```

Results
Total magnetic moment ... 0.00 μB/cell
ΔE_f ... -0.272 eV/atom
Symmetry ... Pbam (55)

***

2.
This record from the Alexandria database describes Nd8Ho2In after structural relaxation. The functional is PBE.

```
11
Lattice="-3.541 3.530 0.786 -4.328 -2.961 -6.194 -1.115 -6.319 7.057" Properties=species:S:1:pos:R:3 pbc="T T T"
Nd -4.211 -0.373 -1.000
Ho -4.947 -1.829 2.222
Nd -5.573 -3.186 5.496
Nd -4.773 -5.378 2.649
Nd -7.418 -3.973 0.723
Nd -6.735 -2.554 -2.571
Nd -2.249 -3.196 4.220
In -1.770 1.765 0.393
Nd -3.411 -2.564 -3.847
Ho -4.036 -3.921 -0.573
Nd -1.566 -1.777 0.926
```

Results
Total magnetic moment ... 0.00 μB/cell
ΔE_f ... -0.068 eV/atom
Symmetry ... C2/m (12)

***

3.
This record from the Alexandria database describes NdHoIn after structural relaxation. The functional is PBE.

```
3
Lattice="-3.523 -0.549 -0.500 0.724 -1.992 -2.910 1.721 -4.413 5.675" Properties=species:S:1:pos:R:3 pbc="T T T"
Ho 0.192 -3.388 2.367
Nd -1.331 -2.483 -0.858
In -1.113 -6.331 1.830
```

Results
Total magnetic moment ... 0.00 μB/cell
ΔE_f ... -0.296 eV/atom
Offset from the most stable computed form ... 0.0459 eV per atom
Symmetry ... I4mm (107)

***

4.
This record from the Alexandria database describes Nd3HoIn3 after structural relaxation. The functional is PBE.

```
28
Lattice="9.524 0.000 0.000 0.000 9.524 0.000 0.000 0.000 9.524" Properties=species:S:1:pos:R:3 pbc="T T T"
In 7.082 3.502 4.717
In 7.203 6.021 9.478
Ho 0.738 5.500 8.786
In 6.021 9.478 7.203
Nd 6.447 3.077 7.839
In 4.807 2.320 1.260
In 9.478 7.203 6.021
In 3.502 4.717 7.082
Nd 5.416 0.654 4.108
Ho 4.024 4.024 4.024
Nd 3.077 7.839 6.447
In 0.045 2.441 8.264
Nd 4.108 5.416 0.654
Nd 0.654 4.108 5.416
Nd 1.618 7.905 3.144
Nd 6.380 6.380 6.380
In 2.441 8.264 0.045
Ho 8.786 0.738 5.500
In 8.264 0.045 2.441
In 1.260 4.807 2.320
Nd 8.870 8.870 8.870
Nd 7.905 3.144 1.618
Nd 7.839 6.447 3.077
Ho 5.500 8.786 0.738
Nd 1.685 1.685 1.685
In 4.717 7.082 3.502
Nd 3.144 1.618 7.905
In 2.320 1.260 4.807
```

Results
Total magnetic moment ... 0.00 μB/cell
ΔE_f ... -0.329 eV/atom
Offset from the most stable computed form ... 0.0000 eV per atom
Symmetry ... P2_13 (198)

***

5.
This record from the Alexandria database describes NdHo9In2 after structural relaxation. The functional is PBE.

```
12
Lattice="-1.912 3.481 2.799 0.824 -2.718 3.942 13.505 6.233 1.473" Properties=species:S:1:pos:R:3 pbc="T T T"
Ho 5.797 4.857 2.136
Ho -0.544 0.381 3.371
Ho 4.035 2.495 3.870
Ho 10.187 6.883 2.615
Ho 8.382 4.501 4.344
In 4.586 2.117 0.500
Ho 2.774 -0.269 2.229
Ho 1.406 2.831 1.657
In 8.919 4.116 0.973
Nd 0.000 0.000 0.000
Ho 11.555 3.784 3.186
Ho 7.165 1.758 2.708
```

Results
Total magnetic moment ... 0.00 μB/cell
ΔE_f ... -0.159 eV/atom
Symmetry ... P4/mmm (123)

***

6.
This record from the Alexandria database describes Nd2HoIn after structural relaxation. The functional is PBE.

```
4
Lattice="5.559 0.000 0.000 2.779 4.814 0.000 2.779 1.605 4.539" Properties=species:S:1:pos:R:3 pbc="T T T"
Nd 2.779 1.605 1.135
Nd 8.338 4.814 3.404
In 5.559 3.209 2.269
Ho 0.000 0.000 0.000
```

Results
Total magnetic moment ... 0.27 μB/cell
ΔE_f ... -0.153 eV/atom
Offset from the most stable computed form ... 0.1155 eV per atom
Symmetry ... Fm-3m (225)

***

7.
This record from the Alexandria database describes Nd7Ho2In2 after structural relaxation. The functional is PBE.

```
11
Lattice="3.693 0.000 0.000 1.846 10.528 -0.299 1.846 4.729 9.411" Properties=species:S:1:pos:R:3 pbc="T T T"
In 1.846 9.318 1.729
Nd 3.693 4.930 9.075
In 3.693 6.706 6.102
Nd 3.693 6.593 2.660
Nd 3.693 11.651 8.989
Nd 3.693 1.819 3.117
Nd 3.693 9.789 4.569
Ho 1.846 3.922 1.241
Ho 5.539 12.305 6.248
Nd 5.539 8.854 7.697
Nd 1.846 4.282 4.967
```

Results
Total magnetic moment ... 0.00 μB/cell
ΔE_f ... -0.040 eV/atom
Symmetry ... Imm2 (44)

***

8.
This record from the Alexandria database describes Nd5HoIn4 after structural relaxation. The functional is PBE.

```
10
Lattice="3.650 0.000 0.000 0.000 3.650 0.000 0.000 0.000 22.528" Properties=species:S:1:pos:R:3 pbc="T T T"
Nd 1.825 1.825 19.958
In 0.000 0.000 13.442
Nd 1.825 1.825 2.569
In 0.000 0.000 9.086
Nd 1.825 1.825 15.622
Nd 1.825 1.825 11.264
Nd 1.825 1.825 6.905
In 0.000 0.000 17.805
Ho 0.000 0.000 0.000
In 0.000 0.000 4.723
```

Results
Total magnetic moment ... 0.00 μB/cell
ΔE_f ... -0.372 eV/atom
Offset from the most stable computed form ... 0.0000 eV per atom
Symmetry ... P4/mmm (123)

***

9.
This record from the Alexandria database describes Nd2HoIn after structural relaxation. The functional is PBE.

```
4
Lattice="-1.872 -3.003 -0.837 2.691 -1.065 -2.201 4.113 -4.585 7.249" Properties=species:S:1:pos:R:3 pbc="T T T"
Ho 2.466 -4.326 2.106
Nd 3.173 -3.537 5.592
Nd 0.940 -1.048 1.657
In 0.410 -2.034 -1.519
```

Results
Total magnetic moment ... 0.00 μB/cell
ΔE_f ... -0.201 eV/atom
Offset from the most stable computed form ... 0.0670 eV per atom
Symmetry ... P4/mmm (123)

***

10.
This record from the Alexandria database describes NdHo8In2 after structural relaxation. The functional is PBE.

```
11
Lattice="0.123 4.862 -2.135 -7.742 2.273 5.908 -1.884 3.552 9.157" Properties=species:S:1:pos:R:3 pbc="T T T"
In -6.829 5.346 10.210
Ho -4.271 6.337 5.207
Ho -7.421 6.946 7.230
Ho -7.622 8.387 10.443
Ho -4.880 3.131 4.149
Ho -2.082 3.741 5.700
Ho -4.623 7.556 8.781
Ho -1.881 2.299 2.487
In -2.674 5.341 2.720
Nd 0.000 0.000 0.000
Ho -5.232 4.350 7.723
```

Results
Total magnetic moment ... 0.00 μB/cell
ΔE_f ... -0.049 eV/atom
Symmetry ... C2/m (12)

***

11.
This record from the Alexandria database describes Nd3Ho4In2 after structural relaxation. The functional is PBE.

```
9
Lattice="4.972 0.000 0.000 0.000 7.639 0.598 -2.486 -3.015 6.987" Properties=species:S:1:pos:R:3 pbc="T T T"
In 0.000 5.588 5.348
Ho 2.486 3.553 4.310
Nd 0.000 4.451 2.010
In 2.486 -0.964 2.237
Nd 2.486 0.173 5.575
Ho 0.000 1.071 3.275
Nd 0.000 0.000 0.000
Ho 0.000 2.457 6.568
Ho 2.486 2.167 1.017
```

Results
Total magnetic moment ... 0.00 μB/cell
ΔE_f ... -0.163 eV/atom
Symmetry ... C2/m (12)

***

12.
This record from the Alexandria database describes NdHoIn2 after structural relaxation. The functional is PBE.

```
4
Lattice="-2.526 -2.757 -0.217 0.806 -3.391 1.372 -4.221 0.608 9.093" Properties=species:S:1:pos:R:3 pbc="T T T"
In -1.458 -1.405 2.497
Ho 0.000 0.000 0.000
In -4.483 -4.135 7.752
Nd -2.970 -2.770 5.125
```

Results
Total magnetic moment ... 0.00 μB/cell
ΔE_f ... -0.311 eV/atom
Offset from the most stable computed form ... 0.1688 eV per atom
Symmetry ... R-3m (166)

***

13.
This record from the Alexandria database describes NdHoIn after structural relaxation. The functional is PBE.

```
3
Lattice="3.717 0.000 0.000 0.000 5.282 0.000 0.000 -2.641 4.574" Properties=species:S:1:pos:R:3 pbc="T T T"
In 1.011 2.641 1.525
Ho 0.326 0.000 0.000
Nd 2.379 0.000 3.049
```

Results
Total magnetic moment ... 0.00 μB/cell
ΔE_f ... -0.237 eV/atom
Offset from the most stable computed form ... 0.1047 eV per atom
Symmetry ... P3m1 (156)

***

14.
This record from the Alexandria database describes NdHo6In5 after structural relaxation. The functional is PBE.

```
12
Lattice="-3.563 -3.469 0.403 5.141 -4.665 5.310 -3.653 7.697 3.104" Properties=species:S:1:pos:R:3 pbc="T T T"
Ho -2.462 -0.437 5.388
Ho -1.706 2.579 7.157
In 0.584 0.183 6.788
In -2.659 -0.620 2.029
Ho 0.387 -0.001 3.430
In -1.841 2.331 3.830
Ho -4.883 1.761 2.887
Nd 0.000 0.000 0.000
In -0.234 -2.769 4.987
Ho 2.808 -2.198 5.931
Ho -0.369 -3.016 1.661
In 2.570 -2.333 2.655
```

Results
Total magnetic moment ... 0.01 μB/cell
ΔE_f ... -0.374 eV/atom
Symmetry ... Immm (71)

***

15.
This record from the Alexandria database describes Nd2Ho5In5 after structural relaxation. The functional is PBE.

```
12
Lattice="5.085 0.000 0.000 -2.543 6.029 -0.254 0.000 -3.379 11.437" Properties=species:S:1:pos:R:3 pbc="T T T"
In 2.543 0.358 8.845
Nd 2.543 4.318 2.566
Ho 0.000 2.018 8.056
Ho 0.000 0.838 11.215
In 0.000 0.000 0.000
Ho 2.543 1.812 -0.032
Nd 0.000 -1.668 8.617
In 0.000 2.292 2.338
In 2.543 2.187 5.919
Ho 2.543 -1.690 5.719
In 0.000 0.463 5.264
Ho 2.543 0.631 3.127
```

Results
Total magnetic moment ... 0.00 μB/cell
ΔE_f ... -0.301 eV/atom
Symmetry ... C2/m (12)

***

16.
This record from the Alexandria database describes Nd3Ho2In3 after structural relaxation. The functional is PBE.

```
8
Lattice="-5.063 -0.997 1.449 -1.192 -2.238 -5.706 5.350 -4.572 5.637" Properties=species:S:1:pos:R:3 pbc="T T T"
In 0.192 -2.815 -1.266
Nd -2.079 -2.202 1.133
In 0.000 0.000 0.000
Nd 1.174 -5.604 0.247
In -1.097 -4.991 2.646
Nd -3.128 -1.617 -2.129
Ho 1.138 -2.722 2.106
Ho -2.044 -5.084 -0.726
```

Results
Total magnetic moment ... 0.00 μB/cell
ΔE_f ... -0.225 eV/atom
Offset from the most stable computed form ... 0.1391 eV per atom
Symmetry ... C2/m (12)

***

17.
This record from the Alexandria database describes NdHoIn4 after structural relaxation. The functional is PBE.

```
6
Lattice="-1.364 -4.154 4.165 3.000 -5.239 0.134 3.865 -1.152 4.494" Properties=species:S:1:pos:R:3 pbc="T T T"
In 4.120 -4.513 3.413
Ho 0.000 0.000 0.000
Nd 1.375 -2.636 2.198
In 3.438 -6.591 5.496
In 1.505 -6.015 3.248
In 1.938 -3.970 5.429
```

Results
Total magnetic moment ... 0.00 μB/cell
ΔE_f ... -0.363 eV/atom
Offset from the most stable computed form ... 0.0000 eV per atom
Symmetry ... F-43m (216)

***

18.
This record from the Alexandria database describes Nd5Ho6In after structural relaxation. The functional is PBE.

```
12
Lattice="-3.195 3.539 1.565 -2.826 -2.264 -8.686 -1.716 -7.500 5.419" Properties=species:S:1:pos:R:3 pbc="T T T"
Nd -4.238 -1.370 -5.546
Ho -3.482 0.255 0.368
Ho -1.714 -2.386 1.900
Ho -6.022 -3.839 -3.602
In 0.000 0.000 0.000
Nd -2.090 -5.737 0.670
Nd -3.868 -3.112 -0.851
Ho -2.079 -0.666 -2.735
Nd -3.499 -4.855 3.844
Ho -5.658 -5.559 1.033
Ho -4.255 -6.479 -2.070
Nd -2.452 -4.027 -3.937
```

Results
Total magnetic moment ... 0.00 μB/cell
ΔE_f ... -0.049 eV/atom
Symmetry ... Immm (71)

***

19.
This record from the Alexandria database describes Nd2Ho5In after structural relaxation. The functional is PBE.

```
8
Lattice="7.006 0.000 0.003 0.000 7.005 0.004 -3.505 -3.505 5.031" Properties=species:S:1:pos:R:3 pbc="T T T"
Ho 1.750 -1.753 4.749
Ho -1.752 -1.751 4.750
Ho 3.502 3.502 2.240
Nd -0.003 3.496 2.240
Ho -1.756 1.751 4.759
Ho 1.748 1.748 4.756
In 0.000 -0.003 2.234
Nd 3.505 0.002 2.237
```

Results
Total magnetic moment ... 0.00 μB/cell
ΔE_f ... -0.078 eV/atom
Offset from the most stable computed form ... 0.0240 eV per atom
Symmetry ... Fmm2 (42)

***

20.
This record from the Alexandria database describes Nd5Ho12In2 after structural relaxation. The functional is PBE.

```
19
Lattice="-8.841 2.661 1.221 2.464 -2.828 -11.510 -0.447 -4.677 6.955" Properties=species:S:1:pos:R:3 pbc="T T T"
Ho -4.979 -2.482 4.875
Ho -1.845 -2.362 -8.209
Ho -7.806 1.495 -1.778
Nd -5.512 0.020 -4.437
Ho -3.471 -2.291 1.672
In -2.846 0.857 0.393
Ho 0.982 -6.340 -1.556
Nd -5.354 -1.027 -1.015
Ho 0.058 -3.580 -5.477
Ho -2.209 -0.189 -2.551
Ho -6.398 -3.328 -3.556
Ho -3.352 -2.554 -5.006
Ho -6.882 -1.265 2.143
In -5.994 1.804 0.828
Ho -4.615 -4.656 -0.783
Nd -1.312 -4.865 1.103
Nd -0.223 -2.338 3.477
Ho -0.426 -1.517 0.222
Nd -1.469 -3.818 -2.319
```

Results
Total magnetic moment ... 0.00 μB/cell
ΔE_f ... -0.013 eV/atom
Symmetry ... C2/m (12)